[1]
Compound: Rb2Te5P
Source: Alexandria via LeMat-Bulk
Functional: PBE
Structure: relaxed

Unit cell a=6.8012 b=7.3823 c=7.7798 alpha=70.10 beta=81.87 gamma=75.84
Positions (direct):
Rb  0.0000  0.0000  0.0000
Rb  0.4467  0.1063  0.3767
Te  0.0307  0.5188  0.9093
Te  0.3485  0.6233  0.3871
Te  0.6175  0.5498  0.0144
Te  0.8333  0.5984  0.3811
Te  0.9282  0.0806  0.5193
P  0.0178  0.7188  0.5695

Properties
ΔE_f (raw) = -346 meV/atom
Total magnetic moment = 0.0 μB/f.u.
Total energy = -3.228 eV/atom

***

[2]
Compound: Rb3TeP
Source: Alexandria via LeMat-Bulk
Functional: PBE
Structure: relaxed

Unit cell a=6.1995 b=8.7051 c=10.2722 alpha=109.49 beta=106.06 gamma=94.25
Positions (direct):
Rb  0.0474  0.2341  0.4831
Rb  0.3199  0.5614  0.1749
Rb  0.3402  0.0376  0.1474
Rb  0.6598  0.9624  0.8526
Rb  0.6801  0.4386  0.8251
Rb  0.9526  0.7659  0.5169
Te  0.1685  0.1816  0.8362
Te  0.8315  0.8184  0.1638
P  0.4397  0.6027  0.5519
P  0.5603  0.3973  0.4481

Properties
ΔE_f (raw) = -694 meV/atom
Total magnetic moment = 1.0 μB/f.u.
Total energy = -2.985 eV/atom

***

[3]
Compound: Rb3TeP
Source: Alexandria via LeMat-Bulk
Functional: PBE
Structure: relaxed

Unit cell a=6.3746 b=6.3746 c=6.3746 alpha=90.00 beta=90.00 gamma=90.00
Positions (direct):
Rb  0.0000  0.0000  0.5000
Rb  0.0000  0.5000  0.0000
Rb  0.5000  0.0000  0.0000
Te  0.5000  0.5000  0.5000
P  0.0000  0.0000  0.0000

Properties
ΔE_f (raw) = -176 meV/atom
Total magnetic moment = 2.0 μB/f.u.
Total energy = -2.467 eV/atom

***

[4]
Compound: Rb3Te3P
Source: Alexandria via LeMat-Bulk
Functional: PBE
Structure: relaxed

Unit cell a=11.0323 b=11.0323 c=7.2971 alpha=90.00 beta=90.00 gamma=119.80
Positions (direct):
Rb  0.1862  0.8138  0.7500
Rb  0.1871  0.3735  0.7500
Rb  0.3735  0.1871  0.2500
Rb  0.6265  0.8129  0.7500
Rb  0.8129  0.6265  0.2500
Rb  0.8138  0.1862  0.2500
Te  0.1988  0.8012  0.2500
Te  0.1997  0.3994  0.2500
Te  0.3994  0.1997  0.7500
Te  0.6006  0.8003  0.2500
Te  0.8003  0.6006  0.7500
Te  0.8012  0.1988  0.7500
P  0.3330  0.6670  0.2500
P  0.6670  0.3330  0.7500

Properties
ΔE_f (raw) = -473 meV/atom
Total magnetic moment = 1.8 μB/f.u.
Total energy = -3.007 eV/atom

***

[5]
Compound: RbTeP2
Source: Alexandria via LeMat-Bulk
Functional: PBE
Structure: relaxed

Unit cell a=7.0978 b=7.0978 c=7.0978 alpha=112.58 beta=112.58 gamma=103.42
Positions (direct):
Rb  0.0000  0.0000  0.0000
Rb  0.7500  0.2500  0.5000
Te  0.2500  0.7500  0.5000
Te  0.5000  0.5000  0.0000
P  0.2141  0.6250  0.0891
P  0.3750  0.4641  0.5891
P  0.5359  0.1250  0.9109
P  0.8750  0.7859  0.4109

Properties
ΔE_f (raw) = 266 meV/atom
Total magnetic moment = 0.8 μB/f.u.
Total energy = -3.466 eV/atom

***

[6]
Compound: Rb3Te4P2
Source: Alexandria via LeMat-Bulk
Functional: PBE
Structure: relaxed

Unit cell a=9.9146 b=9.9146 c=8.6263 alpha=90.04 beta=90.04 gamma=58.09
Positions (direct):
Rb  0.0014  0.9986  0.7500
Rb  0.1907  0.5326  0.0025
Rb  0.4674  0.8093  0.4975
Rb  0.5326  0.1907  0.5025
Rb  0.8093  0.4674  0.9975
Rb  0.9986  0.0014  0.2500
Te  0.2123  0.2125  0.2507
Te  0.2125  0.2123  0.7507
Te  0.2142  0.6211  0.4983
Te  0.3789  0.7858  0.0017
Te  0.6211  0.2142  0.9983
Te  0.7858  0.3789  0.5017
Te  0.7875  0.7877  0.2493
Te  0.7877  0.7875  0.7493
P  0.0369  0.3737  0.5004
P  0.3737  0.0369  0.0004
P  0.6263  0.9631  0.9996
P  0.9631  0.6263  0.4996

Properties
ΔE_f (raw) = -526 meV/atom
Total magnetic moment = 0.0 μB/f.u.
Total energy = -3.447 eV/atom

***

[7]
Compound: Rb7Te6P
Source: Alexandria via LeMat-Bulk
Functional: PBE
Structure: relaxed

Unit cell a=13.4023 b=13.4023 c=13.4023 alpha=139.43 beta=102.29 gamma=91.58
Positions (direct):
Rb  0.0244  0.2262  0.2506
Rb  0.0903  0.5352  0.8699
Rb  0.1653  0.0352  0.4449
Rb  0.2500  0.2500  0.0000
Rb  0.3347  0.7796  0.8699
Rb  0.4097  0.2796  0.4449
Rb  0.4756  0.7262  0.2018
Rb  0.5244  0.2738  0.7982
Rb  0.5903  0.7204  0.5551
Rb  0.6653  0.2204  0.1301
Rb  0.7500  0.7500  0.0000
Rb  0.8347  0.9648  0.5551
Rb  0.9097  0.4648  0.1301
Rb  0.9756  0.7738  0.7494
Te  0.0900  0.8368  0.5719
Te  0.1667  0.9446  0.1113
Te  0.2351  0.6632  0.2532
Te  0.2649  0.5181  0.4281
Te  0.3333  0.4446  0.7780
Te  0.4100  0.9819  0.7468
Te  0.5900  0.0181  0.2532
Te  0.6667  0.5554  0.2220
Te  0.7351  0.4819  0.5719
Te  0.7649  0.3368  0.7468
Te  0.8333  0.0554  0.8887
Te  0.9100  0.1632  0.4281
P  0.2500  0.7500  0.5000
P  0.7500  0.2500  0.5000

Properties
ΔE_f (raw) = -736 meV/atom
Total magnetic moment = 0.0 μB/f.u.
Total energy = -2.953 eV/atom

***

[8]
Compound: Rb8TeP2
Source: Alexandria via LeMat-Bulk
Functional: PBE
Structure: relaxed

Unit cell a=10.2772 b=10.2772 c=10.2772 alpha=147.65 beta=127.75 gamma=62.81
Positions (direct):
Rb  0.1168  0.3381  0.7788
Rb  0.1641  0.1641  0.0000
Rb  0.3010  0.0000  0.3010
Rb  0.4407  0.6619  0.7788
Rb  0.5593  0.3381  0.2212
Rb  0.6990  0.0000  0.6990
Rb  0.8359  0.8359  0.0000
Rb  0.8832  0.6619  0.2212
Te  0.0000  0.5000  0.5000
P  0.3185  0.8185  0.5000
P  0.6815  0.1815  0.5000

Properties
ΔE_f (raw) = -348 meV/atom
Total magnetic moment = 0.0 μB/f.u.
Total energy = -2.321 eV/atom

***

[9]
Compound: RbZnTeP2
Source: Alexandria via LeMat-Bulk
Functional: PBE
Structure: relaxed

Unit cell a=5.5817 b=5.5817 c=5.5552 alpha=90.00 beta=90.00 gamma=90.00
Positions (direct):
Rb  0.0000  0.0000  0.0000
Zn  0.0000  0.0000  0.5000
Te  0.5000  0.5000  0.5000
P  0.0000  0.5000  0.0000
P  0.5000  0.0000  0.0000

Properties
ΔE_f (raw) = 1694 meV/atom
Total magnetic moment = 0.0 μB/f.u.
Total energy = -1.547 eV/atom

***

[10]
Compound: RbZnTe2P
Source: Alexandria via LeMat-Bulk
Functional: PBE
Structure: relaxed

Unit cell a=5.3143 b=5.3143 c=5.8951 alpha=90.00 beta=90.00 gamma=90.00
Positions (direct):
Rb  0.0000  0.0000  0.0000
Zn  0.0000  0.0000  0.5000
Te  0.0000  0.5000  0.5000
Te  0.5000  0.0000  0.5000
P  0.5000  0.5000  0.0000

Properties
ΔE_f (raw) = 523 meV/atom
Total magnetic moment = 0.0 μB/f.u.
Total energy = -2.264 eV/atom

***

[11]
Compound: RbTi2P2
Source: Alexandria via LeMat-Bulk
Functional: PBE
Structure: relaxed

Unit cell a=7.9227 b=7.9227 c=3.2086 alpha=90.00 beta=90.00 gamma=90.00
Positions (direct):
Rb  0.0000  0.0000  0.0000
Rb  0.5000  0.5000  0.0000
Ti  0.1188  0.3812  0.5000
Ti  0.3812  0.8812  0.5000
Ti  0.6188  0.1188  0.5000
Ti  0.8812  0.6188  0.5000
P  0.1349  0.6349  0.0000
P  0.3651  0.1349  0.0000
P  0.6349  0.8651  0.0000
P  0.8651  0.3651  0.0000

Properties
DFT formation energy = -0.23 eV per atom
Total magnetic moment = 0.0 μB/f.u.
Total energy = -5.743 eV/atom

***

[12]
Compound: Rb3TiP
Source: Alexandria via LeMat-Bulk
Functional: PBE
Structure: relaxed

Unit cell a=6.5864 b=6.5864 c=6.5864 alpha=90.00 beta=90.00 gamma=90.00
Positions (direct):
Rb  0.0000  0.0000  0.5000
Rb  0.0000  0.5000  0.0000
Rb  0.5000  0.0000  0.0000
Ti  0.5000  0.5000  0.5000
P  0.0000  0.0000  0.0000

Properties
DFT formation energy = 0.94 eV per atom
Total magnetic moment = 0.6 μB/f.u.
Total energy = -2.302 eV/atom